(1)
Computed, not measured: a relaxed SbPI2F crystal at the GGA-PBEsol level of DFT.

a = 5.2621 Å, b = 5.2621 Å, c = 5.2419 Å
α = 90.00°, β = 90.00°, γ = 90.00°
Last column: nearest neighbours and their distance in Å.
Fractional positions:
1 Sb 0.0000 0.0000 0.0000  2 P 2.62
2 P 0.0000 0.0000 0.5000  2 Sb 2.62, 4 I 2.63
3 I 0.0000 0.5000 0.5000  2 P 2.63
4 I 0.5000 0.0000 0.5000  2 P 2.63
5 F 0.5000 0.5000 0.0000  8 I 3.71, 4 Sb 3.72

Output
**Magnetization**: 0.00 μB/cell
**Calculated volume**: 145.1 Å³/cell
**ΔE_f (raw)**: 0.232 eV per atom



(2)
Computed, not measured: a relaxed BeAlFe crystal at the GGA-PBEsol level of DFT.

a = 5.3760 Å, b = 5.3760 Å, c = 5.3760 Å
α = 90.00°, β = 90.00°, γ = 90.00°
Last column: nearest neighbours and their distance in Å.
Fractional positions:
1 Be 0.0000 0.0000 0.0000  4 Fe 2.33
2 Be 0.0000 0.5000 0.5000  4 Fe 2.33
3 Be 0.5000 0.0000 0.5000  4 Fe 2.33
4 Be 0.5000 0.5000 0.0000  4 Fe 2.33
5 Al 0.0000 0.0000 0.5000  4 Fe 2.33
6 Al 0.0000 0.5000 0.0000  4 Fe 2.33
7 Al 0.5000 0.0000 0.0000  4 Fe 2.33
8 Al 0.5000 0.5000 0.5000  4 Fe 2.33
9 Fe 0.2500 0.2500 0.7500  4 Be 2.33, 4 Al 2.33
10 Fe 0.2500 0.7500 0.2500  4 Be 2.33, 4 Al 2.33
11 Fe 0.7500 0.2500 0.2500  4 Be 2.33, 4 Al 2.33
12 Fe 0.7500 0.7500 0.7500  4 Be 2.33, 4 Al 2.33

Output
**ΔE_f**: 0.39 eV per atom
**Magnetization**: 3.65 μB/cell
**Calculated volume**: 155.4 Å³/cell
**Energy above the lowest structure with this stoichiometry**: 192 meV/atom



(3)
Computed, not measured: a relaxed Sb2Cl7F3 crystal at the GGA-PBEsol level of DFT.

a = 10.1005 Å, b = 10.1005 Å, c = 13.2184 Å
α = 130.71°, β = 130.71°, γ = 43.68°
Last column: nearest neighbours and their distance in Å.
Fractional positions:
1 Sb 0.0490 0.0490 0.3308  3 F 1.90-2.08
2 Sb 0.1681 0.2598 0.7619  2 F 2.13, 4 Cl 2.31-2.32
3 Sb 0.7402 0.8319 0.2381  2 F 2.13, 4 Cl 2.31-2.32
4 Sb 0.9510 0.9510 0.6692  3 F 1.90-2.08
5 Cl 0.0317 0.0736 0.9110  1 Sb 2.30
6 Cl 0.0403 0.5142 0.2307  1 Sb 2.32
7 Cl 0.1806 0.2273 0.4097  1 Sb 2.30
8 Cl 0.2125 0.3727 0.9949  1 Sb 2.31
9 Cl 0.2614 0.4353 0.7879  1 Sb 2.31
10 Cl 0.2619 0.6497 0.6550  1 Sb 2.31
11 Cl 0.3503 0.7381 0.3450  1 Sb 2.31
12 Cl 0.4858 0.9597 0.7693  1 Sb 2.32
13 Cl 0.5154 0.1803 0.3112  1 Sb 2.31
14 Cl 0.5647 0.7386 0.2121  1 Sb 2.31
15 Cl 0.6273 0.7875 0.0051  1 Sb 2.31
16 Cl 0.7727 0.8194 0.5903  1 Sb 2.30
17 Cl 0.8197 0.4846 0.6888  1 Sb 2.31
18 Cl 0.9264 0.9683 0.0890  1 Sb 2.30
19 F 0.0833 0.0697 0.7007  2 Sb 2.08-2.13
20 F 0.1200 0.1141 0.5404  2 Sb 2.08-2.13
21 F 0.7121 0.2059 0.6492  1 Sb 1.90
22 F 0.7941 0.2879 0.3508  1 Sb 1.90
23 F 0.8859 0.8800 0.4596  2 Sb 2.08-2.13
24 F 0.9303 0.9167 0.2993  2 Sb 2.08-2.13

Output
**Magnetization**: 0.00 μB/cell
**Calculated volume**: 662.7 Å³/cell
**ΔE_f (raw)**: -1.146 eV per atom